1.
The following is a DFT calculation (GGA-PBE) of an optimized crystal structure of MgNb2H2.

Results
- Calculated total energy: -5.7595 eV/atom
- Space-group type: I4/mmm, No. 139
- Volume: 12.425 Å³ per atom

a b c (Å): 5.2973 5.2973 5.2973
angles (deg): 139.50 139.50 58.62
Element x y z (fractional)
Mg1 0.0000 0.0000 0.0000
Nb1 0.3301 0.3301 0.0000
Nb2 0.6699 0.6699 0.0000
H1 0.2500 0.7500 0.5000
H2 0.7500 0.2500 0.5000



2.
The following is a DFT calculation (GGA-PBE) of an optimized crystal structure of Li2TlP.

Results
- Calculated total energy: -3.1221 eV/atom
- Space-group type: Amm2, No. 38
- Volume: 19.483 Å³ per atom
- Energy of formation from the pure elements: -221 meV per atom

a b c (Å): 4.1033 5.3322 5.3322
angles (deg): 41.91 90.00 90.00
Element x y z (fractional)
Li1 0.0000 0.0000 0.0000
Li2 0.5000 0.2865 0.2865
Tl1 0.0000 0.7260 0.7260
P1 0.5000 0.5476 0.5476



3.
The following is a DFT calculation (GGA-PBE) of an optimized crystal structure of MnTlBRh2.

Results
- Calculated total energy: -4.9010 eV/atom
- Space-group type: P4/mmm, No. 123
- Volume: 19.576 Å³ per atom
- Energy of formation from the pure elements: 1682 meV per atom

a b c (Å): 4.4223 4.4223 5.0048
angles (deg): 90.00 90.00 90.00
Element x y z (fractional)
Mn1 0.0000 0.0000 0.0000
Tl1 0.0000 0.0000 0.5000
B1 0.5000 0.5000 0.5000
Rh1 0.0000 0.5000 0.0000
Rh2 0.5000 0.0000 0.0000



- Which formula does entry 3 have?
  MnTlBRh2